DFT (PBE) results for a geometry-optimized AcMgSi2Pd structure.

The crystal system is tetragonal. Its total magnetization is 0.0 Bohr magnetons per cell. The value obtained for the uncorrected formation energy is -0.6903 eV per atom. As for the density of states at the Fermi level: 0.37 states/eV per atom. The density is 6.70 g/cm3.

The structure belongs to space group I-4m2 (No. 119); the cell edges are 4.345, 4.345 and 10.875 Å and the angles 90.00°, 90.00° and 90.00°. The asymmetric unit holds Ac at (0.000, 0.000, 0.000), Mg at (0.000, 0.500, 0.250), Si at (0.000, 0.000, 0.388) and Pd at (0.000, 0.500, 0.750).



DFT (PBE) results for a geometry-optimized La4Pm5Cd structure.

For the energy relative to the elements, the calculation gives 0.03 eV/atom. The crystal system is tetragonal. Its total magnetization is 0.0 Bohr magnetons per cell. Its excess energy over the best structure of this formula in the dataset is 0.000 eV per atom. As for the density of states at the Fermi level: 1.75 states/eV per atom. The density is 6.82 g/cm3.

The structure belongs to space group P4/mmm (No. 123); the cell edges are 4.258, 4.258 and 18.698 Å and the angles 90.00°, 90.00° and 90.00°. The asymmetric unit holds La at (0.000, 0.000, 0.105), La at (0.000, 0.000, 0.300), Pm at (0.500, 0.500, 0.000), Pm at (0.500, 0.500, 0.208), Pm at (0.500, 0.500, 0.411) and Cd at (0.000, 0.000, 0.500).



DFT (PBE) results for a geometry-optimized Ca2TaAs structure.

For the energy relative to the elements, the calculation gives 0.05 eV/atom. The crystal system is tetragonal. Its total magnetization is 0.0 Bohr magnetons per cell. As for the density of states at the Fermi level: 0.83 states/eV per atom. The density is 5.99 g/cm3.

The structure belongs to space group P4/mmm (No. 123); the cell edges are 3.121, 3.121 and 9.560 Å and the angles 90.00°, 90.00° and 90.00°. The asymmetric unit holds Ca at (0.000, 0.000, 0.233), Ta at (0.500, 0.500, 0.500) and As at (0.500, 0.500, 0.000).



DFT (PBE) results for a geometry-optimized Hf6In3Fe structure.

For the energy relative to the elements, the calculation gives 0.02 eV/atom. The crystal system is monoclinic. Its total magnetization is 0.0 Bohr magnetons per cell. As for the density of states at the Fermi level: 0.82 states/eV per atom. The density is 11.10 g/cm3.

The structure belongs to space group P2_1/c (No. 14); the cell edges are 5.449, 8.337 and 11.019 Å and the angles 90.00°, 118.44° and 90.00°. The asymmetric unit holds Hf at (0.063, 0.158, 0.461), Hf at (0.362, 0.709, 0.436), Hf at (0.425, 0.078, 0.276), In at (0.000, 0.000, 0.000), In at (0.140, 0.101, 0.765) and Fe at (0.500, 0.000, 0.500).



DFT (PBE) results for a geometry-optimized SbMoSe2 structure.

The crystal system is tetragonal. Its total magnetization is 0.0 Bohr magnetons per cell. The value obtained for the uncorrected formation energy is 0.5236 eV per atom. As for the density of states at the Fermi level: 1.02 states/eV per atom. The density is 8.02 g/cm3.

The structure belongs to space group I-4m2 (No. 119); the cell edges are 4.377, 4.377 and 8.123 Å and the angles 90.00°, 90.00° and 90.00°. The asymmetric unit holds Sb at (0.000, 0.000, 0.000), Mo at (0.000, 0.500, 0.250), Se at (0.000, 0.000, 0.500) and Se at (0.000, 0.500, 0.750).



DFT (PBE) results for a geometry-optimized SrSc2Te structure.

The crystal system is monoclinic. Its total magnetization is 0.0 Bohr magnetons per cell. The value obtained for the uncorrected formation energy is -0.2096 eV per atom. As for the density of states at the Fermi level: 1.24 states/eV per atom. The density is 4.32 g/cm3.

The structure belongs to space group C2/m (No. 12); the cell edges are 6.608, 11.407 and 3.726 Å and the angles 90.00°, 123.34° and 90.00°. The asymmetric unit holds Sr at (0.000, 0.000, 0.000), Sc at (0.250, 0.250, 0.500) and Te at (0.000, 0.500, 0.000).



DFT (PBE) results for a geometry-optimized CaNiCS2 structure.

The crystal system is tetragonal. Its total magnetization is 1.2 Bohr magnetons per cell. The value obtained for the uncorrected formation energy is 2.0387 eV per atom. As for the density of states at the Fermi level: 2.44 states/eV per atom. The density is 2.14 g/cm3.

The structure belongs to space group P4/mmm (No. 123); the cell edges are 5.202, 5.202 and 5.015 Å and the angles 90.00°, 90.00° and 90.00°. The asymmetric unit holds Ca at (0.000, 0.000, 0.000), Ni at (0.000, 0.000, 0.500), C at (0.500, 0.500, 0.500) and S at (0.000, 0.500, 0.000).



DFT (PBE) results for a geometry-optimized InCo2As structure.

For the energy relative to the elements, the calculation gives 0.15 eV/atom. The crystal system is monoclinic. Its total magnetization is 0.4 Bohr magnetons per cell. Its excess energy over the best structure of this formula in the dataset is 0.122 eV per atom. As for the density of states at the Fermi level: 0.92 states/eV per atom. The density is 8.13 g/cm3.

The structure belongs to space group Cm (No. 8); the cell edges are 8.278, 3.059 and 5.058 Å and the angles 90.00°, 101.30° and 90.00°. The asymmetric unit holds In at (0.000, 0.000, 0.000), Co at (0.001, 0.500, 0.530), Co at (0.253, 0.500, 0.241) and As at (0.221, 0.000, 0.564).